A geometry-optimized YCo2AuO structure. Source: Alexandria via LeMat-Bulk, functional GGA+U.

Cell: 5.3037 5.3037 4.1082 Å, 90.00 90.00 90.00°
Last column: nearest neighbours and their distance in Å.
Sites, in units of the cell vectors:
Au 0.5000 0.5000 0.5000  8 Co 3.35, 4 O 3.75
Co 0.0000 0.5000 0.0000  2 Y 2.65
Co 0.5000 0.0000 0.0000  2 Y 2.65
Y 0.0000 0.0000 0.0000  2 O 2.05
O 0.0000 0.0000 0.5000  2 Y 2.05

Calculated values
energy: -22.17 eV/cell
space group: P4/mmm, No. 123
DOS at the Fermi energy: 1.69 states/eV/cell